Record 1
VASP calculation (PBE) on a relaxed structure of CrMo.

```
16
Lattice="7.4949 0.0000 0.0000 0.0000 7.4949 0.0000 0.0000 0.0000 4.3864" Properties=species:S:1:pos:R:3 pbc="T T T"
Mo 6.0295 1.0947 0.0000
Cr 4.9139 0.1737 2.1932
Cr 1.1664 3.9212 0.0000
Mo 4.8422 5.2128 2.1932
Mo 6.4002 6.0295 0.0000
Cr 2.5810 7.3211 2.1932
Cr 0.1737 2.5810 2.1932
Mo 5.2128 2.6527 2.1932
Mo 2.6527 2.2821 2.1932
Mo 1.0947 1.4654 0.0000
Cr 7.3211 4.9139 2.1932
Mo 1.4654 6.4002 0.0000
Cr 3.5737 1.1664 0.0000
Mo 2.2821 4.8422 2.1932
Cr 3.9212 6.3284 0.0000
Cr 6.3284 3.5737 0.0000
```

Summary:
Its formation energy is 609 meV per atom. Its volume is 246 Å³/cell. As for the spin magnetization: 0.0 μB per cell. The value obtained for the total energy is -9.618 eV per atom.

Record 2
VASP calculation (PBE) on a relaxed structure of CrMo.

```
4
Lattice="2.7817 0.0000 0.0000 -1.3909 8.4687 0.0188 1.3909 -0.2338 2.3977" Properties=species:S:1:pos:R:3 pbc="T T T"
Cr 2.7817 8.0363 2.3972
Cr 0.0000 6.4917 0.6329
Mo 1.3909 4.2643 1.2226
Mo 2.7817 1.7950 1.7887
```

Summary:
Its formation energy is 393 meV per atom. Its volume is 56 Å³/cell. As for the spin magnetization: 0.0 μB per cell. The value obtained for the total energy is -9.834 eV per atom.

Record 3
VASP calculation (PBE) on a relaxed structure of Cr2Mo.

```
6
Lattice="4.8144 0.0000 0.0000 2.4072 4.1694 0.0000 2.4072 1.3898 3.9310" Properties=species:S:1:pos:R:3 pbc="T T T"
Cr 4.8144 2.7796 1.9655
Cr 2.4072 2.7796 1.9655
Cr 3.6108 2.0847 0.0000
Mo 8.4252 4.8643 3.4396
Cr 3.6108 0.6949 1.9655
Mo 1.2036 0.6949 0.4914
```

Summary:
Its formation energy is 81 meV per atom. Its volume is 79 Å³/cell. As for the spin magnetization: 0.0 μB per cell. The value obtained for the energy above the most stable polymorph in this dataset is 22 meV/atom. The value obtained for the total energy is -9.945 eV per atom.

Record 4
VASP calculation (PBE) on a relaxed structure of Cr2Mo.

```
12
Lattice="2.8181 0.0000 0.0000 0.0000 4.2524 0.0000 0.0000 0.0000 13.6919" Properties=species:S:1:pos:R:3 pbc="T T T"
Cr 1.4090 3.1893 7.1083
Mo 0.0000 1.0631 8.9676
Mo 1.4090 3.1893 2.1217
Cr 0.0000 1.0631 0.2624
Mo 1.4090 1.0631 11.5702
Cr 0.0000 3.1893 11.1627
Cr 0.0000 3.1893 13.4295
Cr 0.0000 1.0631 2.5292
Cr 1.4090 1.0631 6.5835
Cr 1.4090 3.1893 9.3751
Mo 0.0000 3.1893 4.7242
Cr 1.4090 1.0631 4.3167
```

Summary:
Its formation energy is 505 meV per atom. Its volume is 164 Å³/cell. As for the spin magnetization: 0.0 μB per cell. The value obtained for the energy above the most stable polymorph in this dataset is 445 meV/atom. The value obtained for the total energy is -9.521 eV per atom.

Record 5
VASP calculation (PBE) on a relaxed structure of CrMo.

```
8
Lattice="2.1392 -3.7051 0.0000 2.1392 3.7051 0.0000 0.0000 0.0000 7.4134" Properties=species:S:1:pos:R:3 pbc="T T T"
Cr 2.1392 1.2350 5.5601
Mo 2.1392 -1.2350 6.8992
Cr 0.0000 0.0000 5.5601
Mo 2.1392 1.2350 3.1925
Cr 0.0000 0.0000 1.8534
Mo 2.1392 -1.2350 4.2209
Cr 2.1392 -1.2350 1.8534
Mo 2.1392 1.2350 0.5142
```

Summary:
Its formation energy is 487 meV per atom. Its volume is 118 Å³/cell. As for the spin magnetization: 0.0 μB per cell. The value obtained for the total energy is -9.740 eV per atom.

Record 6
VASP calculation (PBE) on a relaxed structure of Cr2Mo.

```
6
Lattice="2.1583 -3.7384 0.0000 2.1583 3.7384 0.0000 0.0000 0.0000 5.0819" Properties=species:S:1:pos:R:3 pbc="T T T"
Cr 2.1583 1.2461 4.8941
Mo 0.0000 0.0000 3.8114
Mo 0.0000 0.0000 1.2705
Cr 2.1583 1.2461 2.7287
Cr 2.1583 -1.2461 2.3532
Cr 2.1583 -1.2461 0.1877
```

Summary:
Its formation energy is 376 meV per atom. Its volume is 82 Å³/cell. As for the spin magnetization: 0.0 μB per cell. The value obtained for the energy above the most stable polymorph in this dataset is 316 meV/atom. The value obtained for the total energy is -9.650 eV per atom.

Record 7
VASP calculation (PBE) on a relaxed structure of Cr4Mo.

```
10
Lattice="4.6135 0.0000 -2.2741 0.0000 5.6975 0.0000 -0.3178 0.0000 5.1722" Properties=species:S:1:pos:R:3 pbc="T T T"
Cr 2.7223 1.4246 2.7845
Cr 1.5734 4.2734 0.1136
Cr 0.5504 1.4242 3.8551
Cr 0.6208 0.3175 1.2604
Cr 3.6742 5.3800 1.6381
Mo 2.9094 1.4244 0.0857
Cr 3.7453 4.2729 -0.9570
Cr 0.6215 2.5312 1.2601
Mo 1.3863 4.2731 2.8124
Cr 3.6749 3.1663 1.6377
```

Summary:
Its formation energy is 443 meV per atom. Its volume is 132 Å³/cell. As for the spin magnetization: 0.0 μB per cell. The value obtained for the energy above the most stable polymorph in this dataset is 389 meV/atom. The value obtained for the total energy is -9.422 eV per atom.

Record 8
VASP calculation (PBE) on a relaxed structure of Cr2Mo.

```
24
Lattice="-3.9601 -2.2797 -1.5518 2.6696 -1.9302 3.5264 -8.5713 7.6300 10.6649" Properties=species:S:1:pos:R:3 pbc="T T T"
Mo -7.7414 6.8913 9.6324
Cr -5.0170 -0.3149 1.9463
Cr -0.6453 -2.1049 0.9873
Mo -0.8619 -0.8702 3.4781
Cr -6.8590 2.5757 9.9041
Cr -4.8797 2.7064 8.4773
Cr -6.2026 4.7168 8.8998
Mo -5.1155 4.5537 6.3650
Mo -2.5044 0.5919 5.5217
Cr 1.3348 -0.9651 1.7632
Mo -7.3575 2.8283 7.1179
Mo -8.9999 4.2904 9.1615
Cr -4.9821 0.7138 4.1623
Cr -3.6593 -1.2966 3.7398
Mo -0.8298 0.7387 1.0325
Cr -2.8040 -1.2252 1.4521
Mo -3.4558 3.0763 4.2999
Cr -3.0029 0.8445 2.7355
Cr -4.9309 1.7101 6.3198
Cr -1.9801 -1.1398 -0.7759
Cr -4.8448 3.7351 10.6933
Cr -2.9509 2.8499 7.0957
Cr -6.2657 2.6752 4.5566
Cr -7.0579 4.6453 11.1875
```

Summary:
Its formation energy is 85 meV per atom. Its volume is 316 Å³/cell. As for the spin magnetization: 0.0 μB per cell. The value obtained for the energy above the most stable polymorph in this dataset is 25 meV/atom. The value obtained for the total energy is -9.941 eV per atom.

Record 9
VASP calculation (PBE) on a relaxed structure of Cr2Mo.

```
6
Lattice="-2.0200 -1.0874 -1.8911 2.4126 -1.7180 -3.9263 1.8114 -5.5462 1.2543" Properties=species:S:1:pos:R:3 pbc="T T T"
Mo 0.5020 -1.5723 -1.9692
Cr 1.4075 -4.4152 -1.3016
Mo 0.9754 -3.5205 -3.6916
Cr -1.0185 -3.6893 -1.4648
Cr 1.8813 -6.2237 -3.1049
Cr -0.1254 -6.3191 -0.9066
```

Summary:
Its formation energy is 78 meV per atom. Its volume is 79 Å³/cell. As for the spin magnetization: 0.0 μB per cell. The value obtained for the energy above the most stable polymorph in this dataset is 19 meV/atom. The value obtained for the total energy is -9.948 eV per atom.

Record 10
VASP calculation (PBE) on a relaxed structure of Cr5Mo.

```
6
Lattice="0.0000 3.3716 3.3716 3.3716 0.0000 3.3716 3.3716 3.3716 0.0000" Properties=species:S:1:pos:R:3 pbc="T T T"
Cr 1.6858 1.6858 1.6858
Cr 2.5260 2.5260 4.2171
Cr 4.2171 4.2171 4.2171
Cr 4.2171 2.5260 2.5260
Cr 2.5260 4.2171 2.5260
Mo 0.0000 0.0000 0.0000
```

Summary:
Its formation energy is 155 meV per atom. Its volume is 77 Å³/cell. As for the spin magnetization: 2.9 μB per cell. The value obtained for the energy above the most stable polymorph in this dataset is 120 meV/atom. The value obtained for the total energy is -9.670 eV per atom.

Record 11
VASP calculation (PBE) on a relaxed structure of Cr2Mo.

```
6
Lattice="2.5405 0.0000 0.0000 0.0000 4.2562 0.0000 0.0000 0.0000 7.3609" Properties=species:S:1:pos:R:3 pbc="T T T"
Mo 1.2702 2.1281 3.6804
Mo 0.0000 0.0000 0.0000
Cr 0.7632 2.1281 6.1535
Cr 2.0334 0.0000 4.8878
Cr 1.7773 2.1281 1.2074
Cr 0.5070 0.0000 2.4731
```

Summary:
Its formation energy is 207 meV per atom. Its volume is 80 Å³/cell. As for the spin magnetization: 0.0 μB per cell. The value obtained for the energy above the most stable polymorph in this dataset is 148 meV/atom. The value obtained for the total energy is -9.819 eV per atom.

Record 12
VASP calculation (PBE) on a relaxed structure of Cr8Mo.

```
9
Lattice="2.8028 0.0000 0.7336 1.4014 6.1301 0.3668 -0.1509 0.0000 6.2972" Properties=species:S:1:pos:R:3 pbc="T T T"
Cr 0.8784 4.0646 2.3651
Cr 0.3722 2.0656 4.2989
Cr 2.8028 4.0320 0.7336
Mo 0.0000 0.0000 0.0000
Cr 0.8701 0.0000 2.3966
Cr 1.7736 4.0646 4.6657
Cr 1.7818 0.0000 4.6342
Cr 1.4014 2.0981 0.3668
Cr 2.2798 2.0656 2.7319
```

Summary:
Its formation energy is 29 meV per atom. Its volume is 109 Å³/cell. As for the spin magnetization: 0.0 μB per cell. The value obtained for the total energy is -9.728 eV per atom.